No. 1
DFT (PBE) results for a relaxed TbDyHo5Sc2 crystal.

abc: 11.001 11.001 9.297
angles: 90.00 90.00 150.72
Element x y z (fractional)
Tb 0.186 0.814 0.500
Tb 0.814 0.186 0.000
Dy 0.402 0.598 0.901
Dy 0.598 0.402 0.401
Ho 0.011 0.989 0.497
Ho 0.265 0.735 0.816
Ho 0.307 0.693 0.201
Ho 0.392 0.608 0.528
Ho 0.469 0.531 0.230
Ho 0.531 0.469 0.730
Ho 0.608 0.392 0.028
Ho 0.693 0.307 0.701
Ho 0.735 0.265 0.316
Ho 0.989 0.011 0.997
Sc 0.113 0.887 0.806
Sc 0.137 0.863 0.182
Sc 0.863 0.137 0.682
Sc 0.887 0.113 0.306

Properties
* volume: 550.3 Å³ per cell
* space-group type: Cmc2_1, No. 36

No. 2
DFT (PBE) results for a relaxed Tb6DyHo3Sc2 crystal.

abc: 6.071 6.071 11.557
angles: 95.01 95.01 119.96
Element x y z (fractional)
Tb 0.082 0.418 0.755
Tb 0.246 0.246 0.245
Tb 0.418 0.082 0.755
Tb 0.582 0.918 0.245
Tb 0.754 0.754 0.755
Tb 0.918 0.582 0.245
Dy 0.500 0.500 0.000
Ho 0.000 0.000 0.500
Ho 0.333 0.667 0.500
Ho 0.667 0.333 0.500
Sc 0.167 0.833 0.000
Sc 0.833 0.167 0.000

Properties
* volume: 363.4 Å³ per cell
* space-group type: C2/m, No. 12

No. 3
DFT (PBE) results for a relaxed Tb2DyHo2Sc crystal.

abc: 6.503 17.296 3.312
angles: 90.00 90.00 90.00
Element x y z (fractional)
Tb 0.247 0.181 0.000
Tb 0.253 0.681 0.500
Tb 0.747 0.319 0.500
Tb 0.753 0.819 0.000
Dy 0.000 0.500 0.000
Dy 0.500 0.000 0.500
Ho 0.246 0.354 0.500
Ho 0.254 0.854 0.000
Ho 0.746 0.146 0.000
Ho 0.754 0.646 0.500
Sc 0.000 0.000 0.000
Sc 0.500 0.500 0.500

Properties
* volume: 372.5 Å³ per cell
* space-group type: Pnnm, No. 58

No. 4
DFT (PBE) results for a relaxed Tb6DyHo2Sc3 crystal.

abc: 6.045 6.045 11.440
angles: 95.04 95.04 119.96
Element x y z (fractional)
Tb 0.086 0.420 0.759
Tb 0.247 0.247 0.241
Tb 0.420 0.086 0.759
Tb 0.580 0.914 0.241
Tb 0.753 0.753 0.759
Tb 0.914 0.580 0.241
Dy 0.000 0.000 0.500
Ho 0.333 0.667 0.500
Ho 0.667 0.333 0.500
Sc 0.167 0.833 0.000
Sc 0.500 0.500 0.000
Sc 0.833 0.167 0.000

Properties
* volume: 356.6 Å³ per cell
* space-group type: C2/m, No. 12

No. 5
DFT (PBE) results for a relaxed Tb2Dy5HoSc crystal.

abc: 10.326 10.326 10.325
angles: 90.00 90.00 149.02
Element x y z (fractional)
Tb 0.112 0.888 0.500
Tb 0.114 0.886 0.076
Tb 0.886 0.114 0.576
Tb 0.888 0.112 0.000
Dy 0.017 0.983 0.796
Dy 0.275 0.725 0.492
Dy 0.300 0.700 0.108
Dy 0.376 0.624 0.792
Dy 0.482 0.518 0.072
Dy 0.518 0.482 0.572
Dy 0.624 0.376 0.292
Dy 0.700 0.300 0.608
Dy 0.725 0.275 0.992
Dy 0.983 0.017 0.296
Ho 0.408 0.592 0.355
Ho 0.592 0.408 0.855
Sc 0.195 0.805 0.798
Sc 0.805 0.195 0.298

Properties
* volume: 566.7 Å³ per cell
* space-group type: Cmc2_1, No. 36

No. 6
DFT (PBE) results for a relaxed TbDyHo2Sc crystal.

abc: 6.910 6.910 7.049
angles: 90.00 90.00 107.83
Element x y z (fractional)
Tb 0.231 0.769 0.750
Tb 0.769 0.231 0.250
Dy 0.231 0.769 0.250
Dy 0.769 0.231 0.750
Ho 0.197 0.197 0.000
Ho 0.197 0.197 0.500
Ho 0.803 0.803 0.000
Ho 0.803 0.803 0.500
Sc 0.500 0.500 0.250
Sc 0.500 0.500 0.750

Properties
* volume: 320.4 Å³ per cell
* space-group type: Cmcm, No. 63

Formation energy from the elements across the listed records, respectively: 0.168, 0.035, 0.278, 0.042, 0.162, 0.350 eV per atom.